Entry P
Computed, not measured: a geometry-optimized Al3GeN structure at the PBE-GGA level of DFT.

Density   2.55 g cm⁻³
Calculated volume   21.8 A^3/atom

Lattice parameters (Å, degrees): 4.7791 4.7791 4.7791 90.00 90.00 90.00
Fractional positions:
Al1 0.0000 0.0000 0.5000
Al2 0.0000 0.5000 0.0000
Al3 0.5000 0.0000 0.0000
Ge1 0.0000 0.0000 0.0000
N1 0.5000 0.5000 0.5000

Entry Q
Computed, not measured: a geometry-optimized Al3GeN structure at the PBE-GGA level of DFT.

Density   3.90 g cm⁻³
Calculated volume   14.3 A^3/atom

Lattice parameters (Å, degrees): 4.1486 4.1486 4.1486 90.00 90.00 90.00
Fractional positions:
Al1 0.0000 0.0000 0.5000
Al2 0.0000 0.5000 0.0000
Al3 0.5000 0.0000 0.0000
Ge1 0.5000 0.5000 0.5000
N1 0.0000 0.0000 0.0000

Which structure wins on stability? entry Q wins.